Here is a geometry-optimized La4Sm15Sc structure from the Alexandria database. Energies are from PBE-GGA.

a b c (Å): 5.148 5.148 25.663
angles (deg): 90.00 90.00 90.00
Sites, in units of the cell vectors:
La (0.000, 0.000, 0.101)
La (0.000, 0.000, 0.303)
La (0.000, 0.000, 0.697)
La (0.000, 0.000, 0.899)
Sm (0.000, 0.500, 0.000)
Sm (0.000, 0.500, 0.202)
Sm (0.000, 0.500, 0.405)
Sm (0.000, 0.500, 0.595)
Sm (0.000, 0.500, 0.798)
Sm (0.500, 0.000, 0.000)
Sm (0.500, 0.000, 0.202)
Sm (0.500, 0.000, 0.405)
Sm (0.500, 0.000, 0.595)
Sm (0.500, 0.000, 0.798)
Sm (0.500, 0.500, 0.101)
Sm (0.500, 0.500, 0.304)
Sm (0.500, 0.500, 0.500)
Sm (0.500, 0.500, 0.696)
Sm (0.500, 0.500, 0.899)
Sc (0.000, 0.000, 0.500)

Here is a geometry-optimized Ta2CrRh structure from the Alexandria database. Energies are from PBE-GGA.

a b c (Å): 2.764 2.764 8.238
angles (deg): 90.00 90.00 90.00
Sites, in units of the cell vectors:
Ta (0.000, 0.000, 0.000)
Ta (0.500, 0.500, 0.287)
Cr (0.000, 0.000, 0.544)
Rh (0.500, 0.500, 0.742)

Here is a geometry-optimized Ta2VHg2 structure from the Alexandria database. Energies are from PBE-GGA.

Output
Polymorph energy (0 for the lowest one) ... 45 meV/atom

a b c (Å): 7.652 7.652 7.652
angles (deg): 151.24 151.24 41.12
Sites, in units of the cell vectors:
Ta (0.250, 0.750, 0.500)
Ta (0.750, 0.250, 0.500)
V (0.000, 0.000, 0.000)
Hg (0.405, 0.405, 0.000)
Hg (0.595, 0.595, 0.000)

Number 1: spin magnetization 0.000 μB/cell, theoretical density 6.97 Mg/m³, ΔH_f (0 K) 0.027 eV per atom. Number 2: spin magnetization 0.000 μB/cell, theoretical density 13.63 Mg/m³, ΔH_f (0 K) -0.006 eV per atom. Number 3: spin magnetization 2.305 μB/cell, theoretical density 13.06 Mg/m³, ΔH_f (0 K) 0.770 eV per atom.